# 1
Compound: Na3UBr6
Source: Alexandria
Functional: PBE
Structure: relaxed

Properties
Fermi-level density of states ... 28.67 states/eV/cell
Formation energy (no corrections) ... -1.30 eV per atom
Size of the total moment ... 0.298 μB per atom
Calculated total energy ... -153.3 eV per cell

abc: 9.2470 10.9950 15.0130
angles: 90.00 90.00 90.00
Space group Fmmm (No. 69)
Inequivalent atoms, fractional coordinates:
Na1 0.0000 0.0000 0.0000 x4
Na2 0.2500 0.2500 0.2500 x8
U1 0.0000 0.0000 0.5000 x4
Br1 0.0000 0.2446 0.0000 x8
Br2 0.2316 0.0000 0.3658 x16

# 2
Compound: Nd3Bi2Se
Source: Alexandria
Functional: PBE
Structure: relaxed

Properties
Fermi-level density of states ... 27.23 states/eV/cell
Formation energy (no corrections) ... -1.23 eV per atom
Size of the total moment ... 0.000 μB per atom
Calculated total energy ... -527.0 eV per cell

abc: 8.9786 12.7112 26.9297
angles: 90.00 90.00 90.00
Space group Fddd (No. 70, origin choice 2)
Inequivalent atoms, fractional coordinates:
Nd1 0.1105 0.3750 0.3750 x16
Nd2 0.1189 0.3701 0.2108 x32
Bi1 0.1250 0.1250 0.3766 x16
Bi2 0.1250 0.1250 0.5436 x16
Se1 0.1250 0.1250 0.0416 x16

# 3
Compound: YErSc
Source: Alexandria
Functional: PBE
Structure: relaxed

Properties
Fermi-level density of states ... 9.73 states/eV/cell
Size of the total moment ... 0.000 μB per atom
Calculated total energy ... -34.4 eV per cell
ΔE_f ... 53 meV per atom

abc: 3.4580 5.9779 9.0982
angles: 77.04 79.09 73.24
Space group P-1 (No. 2)
Inequivalent atoms, fractional coordinates:
Y1 0.1678 0.2549 0.4104 x2
Er1 0.4997 0.2371 0.7624 x2
Sc1 0.1697 0.7405 0.9207 x2

Which formula does entry 3 have?
YErSc